1.
# Ce2PrMgAs4 (GGA-PBE, optimized geometry)
data_Ce2PrMgAs4
_chemical_formula_sum 'Ce2 Pr1 Mg1 As4'
_space_group_name_H-M_alt 'P 1'
_space_group_IT_number 1
_cell_length_a 7.2252
_cell_length_b 4.2334
_cell_length_c 7.2932
_cell_angle_alpha 90.00
_cell_angle_beta 110.31
_cell_angle_gamma 90.00
loop_
_space_group_symop_operation_xyz
'x,y,z'
loop_
_atom_site_label
_atom_site_fract_x
_atom_site_fract_y
_atom_site_fract_z
_atom_site_occupancy
Ce1 0.0000 0.0000 0.0000 1
Ce2 0.0000 0.5000 0.5000 1
Pr1 0.5000 0.0000 0.5000 1
Mg1 0.5000 0.5000 0.0000 1
As1 0.2428 0.5000 0.2443 1
As2 0.2498 0.0000 0.7574 1
As3 0.7502 0.0000 0.2426 1
As4 0.7572 0.5000 0.7557 1
# ρ in g/cm3: 5.914
# ΔH_f (0 K) in meV per atom: -1166
# Size of the total moment in Bohr magnetons per cell: 0.917
# Crystal system: monoclinic
# Calculated total energy in eV/atom: -5.771

---

2.
# MoRh3S (GGA-PBE, optimized geometry)
data_MoRh3S
_chemical_formula_sum 'Mo1 Rh3 S1'
_space_group_name_H-M_alt 'P 1'
_space_group_IT_number 1
_cell_length_a 4.3738
_cell_length_b 4.3738
_cell_length_c 4.3738
_cell_angle_alpha 90.00
_cell_angle_beta 90.00
_cell_angle_gamma 90.00
loop_
_space_group_symop_operation_xyz
'x,y,z'
loop_
_atom_site_label
_atom_site_fract_x
_atom_site_fract_y
_atom_site_fract_z
_atom_site_occupancy
Mo1 0.0000 0.0000 0.0000 1
Rh1 0.0000 0.5000 0.5000 1
Rh2 0.5000 0.0000 0.5000 1
Rh3 0.5000 0.5000 0.0000 1
S1 0.5000 0.5000 0.5000 1
# ρ in g/cm3: 8.667
# Energy above the most stable polymorph in this dataset in eV/atom: 0.0000
# Size of the total moment in Bohr magnetons per cell: 4.171
# Energy relative to the elements, uncorrected in eV per atom: 0.5324
# Crystal system: cubic
# Calculated total energy in eV/atom: -6.870

---

3.
# ErAg8Au5 (GGA-PBE, optimized geometry)
data_ErAg8Au5
_chemical_formula_sum 'Er1 Ag8 Au5'
_space_group_name_H-M_alt 'P 1'
_space_group_IT_number 1
_cell_length_a 7.1244
_cell_length_b 7.1244
_cell_length_c 7.1244
_cell_angle_alpha 111.57
_cell_angle_beta 111.57
_cell_angle_gamma 105.35
loop_
_space_group_symop_operation_xyz
'x,y,z'
loop_
_atom_site_label
_atom_site_fract_x
_atom_site_fract_y
_atom_site_fract_z
_atom_site_occupancy
Er1 0.0000 0.0000 0.0000 1
Ag1 0.1159 0.3652 0.4460 1
Ag2 0.1870 0.4191 0.9048 1
Ag3 0.3301 0.8841 0.2493 1
Ag4 0.5143 0.2822 0.0952 1
Ag5 0.5809 0.4857 0.7678 1
Ag6 0.6348 0.0808 0.7507 1
Ag7 0.7178 0.8130 0.2322 1
Ag8 0.9192 0.6699 0.5540 1
Au1 0.1872 0.0469 0.5723 1
Au2 0.3851 0.8128 0.8597 1
Au3 0.4746 0.6149 0.4277 1
Au4 0.7500 0.2500 0.5000 1
Au5 0.9531 0.5254 0.1403 1
# ρ in g/cm3: 12.066
# ΔH_f (0 K) in meV per atom: 16
# Size of the total moment in Bohr magnetons per cell: 0.000
# Crystal system: tetragonal
# Calculated total energy in eV/atom: -3.110

---

4.
# Hf2PbF (GGA-PBE, optimized geometry)
data_Hf2PbF
_chemical_formula_sum 'Hf2 Pb1 F1'
_space_group_name_H-M_alt 'P 1'
_space_group_IT_number 1
_cell_length_a 4.8258
_cell_length_b 4.8258
_cell_length_c 4.8258
_cell_angle_alpha 60.00
_cell_angle_beta 60.00
_cell_angle_gamma 60.00
loop_
_space_group_symop_operation_xyz
'x,y,z'
loop_
_atom_site_label
_atom_site_fract_x
_atom_site_fract_y
_atom_site_fract_z
_atom_site_occupancy
Hf1 0.2500 0.2500 0.2500 1
Hf2 0.7500 0.7500 0.7500 1
Pb1 0.0000 0.0000 0.0000 1
F1 0.5000 0.5000 0.5000 1
# ρ in g/cm3: 12.186
# Energy above the most stable polymorph in this dataset in eV/atom: 0.0000
# Size of the total moment in Bohr magnetons per cell: 0.000
# Energy relative to the elements, uncorrected in eV per atom: -0.3897
# Crystal system: cubic
# Calculated total energy in eV/atom: -6.761

---

5.
# Ga3Hg2Au8 (GGA-PBE, optimized geometry)
data_Ga3Hg2Au8
_chemical_formula_sum 'Ga3 Hg2 Au8'
_space_group_name_H-M_alt 'P 1'
_space_group_IT_number 1
_cell_length_a 8.6985
_cell_length_b 3.6074
_cell_length_c 9.3244
_cell_angle_alpha 90.00
_cell_angle_beta 110.74
_cell_angle_gamma 90.00
loop_
_space_group_symop_operation_xyz
'x,y,z'
loop_
_atom_site_label
_atom_site_fract_x
_atom_site_fract_y
_atom_site_fract_z
_atom_site_occupancy
Ga1 0.0000 0.0000 0.0000 1
Ga2 0.3378 0.5000 0.0000 1
Ga3 0.6622 0.5000 0.0000 1
Hg1 0.2345 0.0000 0.4910 1
Hg2 0.7655 0.0000 0.5090 1
Au1 0.0883 0.5000 0.2342 1
Au2 0.1723 0.0000 0.7934 1
Au3 0.3284 0.0000 0.2049 1
Au4 0.4020 0.5000 0.7364 1
Au5 0.5980 0.5000 0.2636 1
Au6 0.6716 0.0000 0.7951 1
Au7 0.8277 0.0000 0.2066 1
Au8 0.9117 0.5000 0.7658 1
# ρ in g/cm3: 13.267
# ΔH_f (0 K) in meV per atom: -31
# Size of the total moment in Bohr magnetons per cell: 0.000
# Crystal system: monoclinic
# Calculated total energy in eV/atom: -2.793

---

6.
# Tm4Te3Rh (GGA-PBE, optimized geometry)
data_Tm4Te3Rh
_chemical_formula_sum 'Tm8 Te6 Rh2'
_space_group_name_H-M_alt 'P 1'
_space_group_IT_number 1
_cell_length_a 7.6002
_cell_length_b 8.6085
_cell_length_c 7.2145
_cell_angle_alpha 90.00
_cell_angle_beta 108.80
_cell_angle_gamma 90.00
loop_
_space_group_symop_operation_xyz
'x,y,z'
loop_
_atom_site_label
_atom_site_fract_x
_atom_site_fract_y
_atom_site_fract_z
_atom_site_occupancy
Tm1 0.2129 0.1121 0.0078 1
Tm2 0.2129 0.8879 0.5078 1
Tm3 0.2227 0.3319 0.4660 1
Tm4 0.2227 0.6681 0.9660 1
Tm5 0.7773 0.3319 0.0340 1
Tm6 0.7773 0.6681 0.5340 1
Tm7 0.7871 0.1121 0.4922 1
Tm8 0.7871 0.8879 0.9922 1
Te1 0.0000 0.3871 0.7500 1
Te2 0.0000 0.6129 0.2500 1
Te3 0.5000 0.1224 0.7500 1
Te4 0.5000 0.3887 0.2500 1
Te5 0.5000 0.6113 0.7500 1
Te6 0.5000 0.8776 0.2500 1
Rh1 0.0000 0.1086 0.2500 1
Rh2 0.0000 0.8914 0.7500 1
# ρ in g/cm3: 8.632
# Size of the total moment in Bohr magnetons per cell: 0.000
# Energy relative to the elements, uncorrected in eV per atom: -1.1646
# Crystal system: monoclinic
# Calculated total energy in eV/atom: -5.497

---

7.
# Er4Tl2Ga (GGA-PBE, optimized geometry)
data_Er4Tl2Ga
_chemical_formula_sum 'Er4 Tl2 Ga1'
_space_group_name_H-M_alt 'P 1'
_space_group_IT_number 1
_cell_length_a 8.9676
_cell_length_b 8.9676
_cell_length_c 8.9676
_cell_angle_alpha 33.49
_cell_angle_beta 33.49
_cell_angle_gamma 33.49
loop_
_space_group_symop_operation_xyz
'x,y,z'
loop_
_atom_site_label
_atom_site_fract_x
_atom_site_fract_y
_atom_site_fract_z
_atom_site_occupancy
Er1 0.1223 0.1223 0.1223 1
Er2 0.3742 0.3742 0.3742 1
Er3 0.6258 0.6258 0.6258 1
Er4 0.8777 0.8777 0.8777 1
Tl1 0.2443 0.2443 0.2443 1
Tl2 0.7557 0.7557 0.7557 1
Ga1 0.0000 0.0000 0.0000 1
# ρ in g/cm3: 9.741
# ΔH_f (0 K) in meV per atom: -240
# Energy above the most stable polymorph in this dataset in eV/atom: 0.0000
# Size of the total moment in Bohr magnetons per cell: 0.000
# Crystal system: trigonal
# Calculated total energy in eV/atom: -3.956

---

8.
# Li2TmH6 (GGA-PBE, optimized geometry)
data_Li2TmH6
_chemical_formula_sum 'Li2 Tm1 H6'
_space_group_name_H-M_alt 'P 1'
_space_group_IT_number 1
_cell_length_a 5.2098
_cell_length_b 5.2098
_cell_length_c 5.2098
_cell_angle_alpha 60.00
_cell_angle_beta 60.00
_cell_angle_gamma 60.00
loop_
_space_group_symop_operation_xyz
'x,y,z'
loop_
_atom_site_label
_atom_site_fract_x
_atom_site_fract_y
_atom_site_fract_z
_atom_site_occupancy
Li1 0.2500 0.2500 0.2500 1
Li2 0.7500 0.7500 0.7500 1
Tm1 0.0000 0.0000 0.0000 1
H1 0.2808 0.2808 0.7192 1
H2 0.2808 0.7192 0.2808 1
H3 0.2808 0.7192 0.7192 1
H4 0.7192 0.2808 0.2808 1
H5 0.7192 0.2808 0.7192 1
H6 0.7192 0.7192 0.2808 1
# ρ in g/cm3: 3.137
# Size of the total moment in Bohr magnetons per cell: 0.000
# Crystal system: cubic
# Calculated total energy in eV/atom: -2.880